Record 1
The following is a DFT calculation (PBE) of a geometry-optimized LaHgIr2 structure.

Results
Its density of states at the Fermi level is 4.26 states/eV per cell. The value obtained for the formation energy is -0.18 eV/atom.

Structure (CIF):
```
data_LaHgIr2
_cell_length_a 4.303
_cell_length_b 4.392
_cell_length_c 5.379
_cell_angle_alpha 90.00
_cell_angle_beta 113.42
_cell_angle_gamma 90.00
_space_group_name_H-M_alt 'P 1 m 1'
_space_group_IT_number 6
loop_
_space_group_symop_operation_xyz
'x,y,z'
'x,-y,z'
loop_
_atom_site_label
_atom_site_type_symbol
_atom_site_fract_x
_atom_site_fract_y
_atom_site_fract_z
La1 La 0.000 0.000 0.000
Hg1 Hg 0.695 0.500 0.388
Ir1 Ir 0.300 0.000 0.597
Ir2 Ir 0.408 0.500 0.816
```

=====

Record 2
The following is a DFT calculation (PBE) of a geometry-optimized FeSe3 structure.

Results
Its density of states at the Fermi level is 6.71 states/eV per cell. The calculation puts the raw formation energy at 54 meV per atom.

Structure (CIF):
```
data_FeSe3
_cell_length_a 3.1666
_cell_length_b 3.1666
_cell_length_c 28.3886
_cell_angle_alpha 90.00
_cell_angle_beta 90.00
_cell_angle_gamma 120.00
_space_group_name_H-M_alt 'R -3 m'
_space_group_IT_number 166
_space_group_name_Hall '-R 3 2"'
loop_
_atom_site_label
_atom_site_type_symbol
_atom_site_fract_x
_atom_site_fract_y
_atom_site_fract_z
Fe1 Fe 0.0000 0.0000 0.0000
Se1 Se 0.0000 0.0000 0.2786
Se2 Se 0.0000 0.0000 0.5000
```

=====

Record 3
The following is a DFT calculation (PBE) of a geometry-optimized Ba2ZnPt structure.

Results
Its density of states at the Fermi level is 1.90 states/eV per cell. The value obtained for the formation energy is -0.42 eV/atom.

Structure (CIF):
```
data_Ba2ZnPt
_cell_length_a 3.982
_cell_length_b 3.982
_cell_length_c 8.002
_cell_angle_alpha 90.00
_cell_angle_beta 90.00
_cell_angle_gamma 90.00
_space_group_name_H-M_alt 'P 4/m m m'
_space_group_IT_number 123
_space_group_name_Hall '-P 4 2'
loop_
_atom_site_label
_atom_site_type_symbol
_atom_site_fract_x
_atom_site_fract_y
_atom_site_fract_z
Ba1 Ba 0.000 0.000 0.229
Zn1 Zn 0.500 0.500 0.500
Pt1 Pt 0.500 0.500 0.000
```

=====

Record 4
The following is a DFT calculation (PBE) of a geometry-optimized Pu4HgGe structure.

Results
Its density of states at the Fermi level is 38.90 states/eV per cell. The value obtained for the formation energy is 0.02 eV/atom.

Structure (CIF):
```
data_Pu4HgGe
_cell_length_a 5.052
_cell_length_b 6.329
_cell_length_c 8.975
_cell_angle_alpha 90.00
_cell_angle_beta 90.00
_cell_angle_gamma 90.00
_space_group_name_H-M_alt 'I m m m'
_space_group_IT_number 71
_space_group_name_Hall '-I 2 2'
loop_
_atom_site_label
_atom_site_type_symbol
_atom_site_fract_x
_atom_site_fract_y
_atom_site_fract_z
Pu1 Pu 0.000 0.244 0.165
Hg1 Hg 0.000 0.000 0.500
Ge1 Ge 0.000 0.500 0.500
```

=====

Record 5
The following is a DFT calculation (PBE) of a geometry-optimized Ac5Cu4Hg structure.

Results
Its density of states at the Fermi level is 7.03 states/eV per cell. The value obtained for the formation energy is -0.16 eV/atom.

Structure (CIF):
```
data_Ac5Cu4Hg
_cell_length_a 3.835
_cell_length_b 3.835
_cell_length_c 19.494
_cell_angle_alpha 90.00
_cell_angle_beta 90.00
_cell_angle_gamma 90.00
_space_group_name_H-M_alt 'P 4/m m m'
_space_group_IT_number 123
_space_group_name_Hall '-P 4 2'
loop_
_atom_site_label
_atom_site_type_symbol
_atom_site_fract_x
_atom_site_fract_y
_atom_site_fract_z
Ac1 Ac 0.000 0.000 0.000
Ac2 Ac 0.000 0.000 0.195
Ac3 Ac 0.000 0.000 0.388
Cu1 Cu 0.500 0.500 0.097
Cu2 Cu 0.500 0.500 0.291
Hg1 Hg 0.500 0.500 0.500
```

=====

Record 6
The following is a DFT calculation (PBE) of a geometry-optimized HfThTe4 structure.

Results
The calculation puts the raw formation energy at -955 meV per atom. The offset from the most stable computed form comes out at 0.0000 eV per atom.

Structure (CIF):
```
data_HfThTe4
_cell_length_a 15.142
_cell_length_b 4.243
_cell_length_c 7.436
_cell_angle_alpha 90.00
_cell_angle_beta 98.85
_cell_angle_gamma 90.00
_space_group_name_H-M_alt 'C 1 2/m 1'
_space_group_IT_number 12
loop_
_space_group_symop_operation_xyz
'x,y,z'
'-x,-y,-z'
'-x,y,-z'
'x,-y,z'
'x+1/2,y+1/2,z'
'-x+1/2,-y+1/2,-z'
'-x+1/2,y+1/2,-z'
'x+1/2,-y+1/2,z'
loop_
_atom_site_label
_atom_site_type_symbol
_atom_site_fract_x
_atom_site_fract_y
_atom_site_fract_z
Hf1 Hf 0.000 0.000 0.000
Th1 Th 0.000 0.500 0.500
Te1 Te 0.115 0.500 0.888
Te2 Te 0.120 0.000 0.345
```

=====

Record 7
The following is a DFT calculation (PBE) of a geometry-optimized LiCrHg2 structure.

Results
Its density of states at the Fermi level is 8.52 states/eV per cell. The value obtained for the formation energy is 0.19 eV/atom.

Structure (CIF):
```
data_LiCrHg2
_cell_length_a 6.711
_cell_length_b 6.711
_cell_length_c 6.711
_cell_angle_alpha 90.00
_cell_angle_beta 90.00
_cell_angle_gamma 90.00
_space_group_name_H-M_alt 'F -4 3 m'
_space_group_IT_number 216
_space_group_name_Hall 'F -4 2 3'
loop_
_atom_site_label
_atom_site_type_symbol
_atom_site_fract_x
_atom_site_fract_y
_atom_site_fract_z
Li1 Li 0.000 0.000 0.000
Cr1 Cr 0.250 0.250 0.750
Hg1 Hg 0.000 0.000 0.500
Hg2 Hg 0.250 0.250 0.250
```

=====

Record 8
The following is a DFT calculation (PBE) of a geometry-optimized Nd2TeO2 structure.

Results
Its density of states at the Fermi level is 0.00 states/eV per cell. The calculation puts the raw formation energy at -2880 meV per atom.

Structure (CIF):
```
data_Nd2TeO2
_cell_length_a 4.074
_cell_length_b 4.074
_cell_length_c 13.000
_cell_angle_alpha 90.00
_cell_angle_beta 90.00
_cell_angle_gamma 90.00
_space_group_name_H-M_alt 'I 4/m m m'
_space_group_IT_number 139
_space_group_name_Hall '-I 4 2'
loop_
_atom_site_label
_atom_site_type_symbol
_atom_site_fract_x
_atom_site_fract_y
_atom_site_fract_z
Nd1 Nd 0.000 0.000 0.160
Te1 Te 0.000 0.000 0.500
O1 O 0.000 0.500 0.250
```

=====

Record 9
The following is a DFT calculation (PBE) of a geometry-optimized TbCdAgCl6 structure.

Results
Its density of states at the Fermi level is 0.00 states/eV per cell. The calculation puts the raw formation energy at -1453 meV per atom.

Structure (CIF):
```
data_TbCdAgCl6
_cell_length_a 6.7735
_cell_length_b 6.7735
_cell_length_c 12.2910
_cell_angle_alpha 90.00
_cell_angle_beta 90.00
_cell_angle_gamma 120.00
_space_group_name_H-M_alt 'P -3 1 c'
_space_group_IT_number 163
_space_group_name_Hall '-P 3 2c'
loop_
_atom_site_label
_atom_site_type_symbol
_atom_site_fract_x
_atom_site_fract_y
_atom_site_fract_z
Tb1 Tb 0.3333 0.6667 0.2500
Cd1 Cd 0.3333 0.6667 0.7500
Ag1 Ag 0.0000 0.0000 0.0000
Cl1 Cl 0.0001 0.3469 0.1282
```

=====

Record 10
The following is a DFT calculation (PBE) of a geometry-optimized CaPtS structure.

Results
Its density of states at the Fermi level is 0.00 states/eV per cell. The calculation puts the raw formation energy at -1182 meV per atom.

Structure (CIF):
```
data_CaPtS
_cell_length_a 4.017
_cell_length_b 7.943
_cell_length_c 4.305
_cell_angle_alpha 90.00
_cell_angle_beta 90.05
_cell_angle_gamma 90.00
_space_group_name_H-M_alt 'P 1 21/m 1'
_space_group_IT_number 11
loop_
_space_group_symop_operation_xyz
'x,y,z'
'-x,-y,-z'
'-x,y+1/2,-z'
'x,-y+1/2,z'
loop_
_atom_site_label
_atom_site_type_symbol
_atom_site_fract_x
_atom_site_fract_y
_atom_site_fract_z
Ca1 Ca 0.001 0.250 0.251
Pt1 Pt 0.500 0.000 0.000
S1 S 0.499 0.750 0.276
```

=====

Record 11
The following is a DFT calculation (PBE) of a geometry-optimized Ti5Cu2Sb structure.

Results
Its density of states at the Fermi level is 50.90 states/eV per cell. The calculation puts the raw formation energy at -149 meV per atom.

Structure (CIF):
```
data_Ti5Cu2Sb
_cell_length_a 6.720
_cell_length_b 6.720
_cell_length_c 11.813
_cell_angle_alpha 90.00
_cell_angle_beta 90.00
_cell_angle_gamma 90.00
_space_group_name_H-M_alt 'I 4/m c m'
_space_group_IT_number 140
_space_group_name_Hall '-I 4 2c'
loop_
_atom_site_label
_atom_site_type_symbol
_atom_site_fract_x
_atom_site_fract_y
_atom_site_fract_z
Ti1 Ti 0.000 0.000 0.000
Ti2 Ti 0.154 0.346 0.150
Cu1 Cu 0.132 0.368 0.500
Sb1 Sb 0.000 0.000 0.250
```

=====

Record 12
The following is a DFT calculation (PBE) of a geometry-optimized LaMg3Pb3 structure.

Results
Its density of states at the Fermi level is 19.44 states/eV per cell. The offset from the most stable computed form comes out at 0.0000 eV per atom. The value obtained for the formation energy is -0.10 eV/atom.

Structure (CIF):
```
data_LaMg3Pb3
_cell_length_a 8.5616
_cell_length_b 8.5616
_cell_length_c 20.5692
_cell_angle_alpha 90.00
_cell_angle_beta 90.00
_cell_angle_gamma 120.00
_space_group_name_H-M_alt 'R -3'
_space_group_IT_number 148
_space_group_name_Hall '-R 3'
loop_
_atom_site_label
_atom_site_type_symbol
_atom_site_fract_x
_atom_site_fract_y
_atom_site_fract_z
La1 La 0.0000 0.0000 0.1680
Mg1 Mg 0.0016 0.3546 0.3834
Pb1 Pb 0.0021 0.2994 0.5672
```

=====

Please write out number 2 again, unchanged.
The following is a DFT calculation (PBE) of a geometry-optimized FeSe3 structure.

Results
Its density of states at the Fermi level is 6.71 states/eV per cell. The calculation puts the raw formation energy at 54 meV per atom.

Structure (CIF):
```
data_FeSe3
_cell_length_a 3.1666
_cell_length_b 3.1666
_cell_length_c 28.3886
_cell_angle_alpha 90.00
_cell_angle_beta 90.00
_cell_angle_gamma 120.00
_space_group_name_H-M_alt 'R -3 m'
_space_group_IT_number 166
_space_group_name_Hall '-R 3 2"'
loop_
_atom_site_label
_atom_site_type_symbol
_atom_site_fract_x
_atom_site_fract_y
_atom_site_fract_z
Fe1 Fe 0.0000 0.0000 0.0000
Se1 Se 0.0000 0.0000 0.2786
Se2 Se 0.0000 0.0000 0.5000
```

=====

What did the first record say?
The following is a DFT calculation (PBE) of a geometry-optimized LaHgIr2 structure.

Results
Its density of states at the Fermi level is 4.26 states/eV per cell. The value obtained for the formation energy is -0.18 eV/atom.

Structure (CIF):
```
data_LaHgIr2
_cell_length_a 4.303
_cell_length_b 4.392
_cell_length_c 5.379
_cell_angle_alpha 90.00
_cell_angle_beta 113.42
_cell_angle_gamma 90.00
_space_group_name_H-M_alt 'P 1 m 1'
_space_group_IT_number 6
loop_
_space_group_symop_operation_xyz
'x,y,z'
'x,-y,z'
loop_
_atom_site_label
_atom_site_type_symbol
_atom_site_fract_x
_atom_site_fract_y
_atom_site_fract_z
La1 La 0.000 0.000 0.000
Hg1 Hg 0.695 0.500 0.388
Ir1 Ir 0.300 0.000 0.597
Ir2 Ir 0.408 0.500 0.816
```